1.
Entry from the Alexandria database: a PBEsol-optimized structure of LaNi2 (SCAN).

Cell lengths 3.947, 3.947, 14.095 Å; angles 90.00, 90.00, 90.00 degrees
Space group I4_1/amd (No. 141, origin choice 2)
One atom of each set of equivalent atoms:
La 0.000 0.250 0.375
Ni 0.000 0.250 0.793

Total magnetization in μB per atom: 0.00
Electronic total energy in Ry per atom: -1.86844

***

2.
Entry from the Alexandria database: a PBEsol-optimized structure of AgAu (SCAN).

Cell lengths 2.851, 2.851, 8.218 Å; angles 90.00, 90.00, 90.00 degrees
Space group P4/nmm (No. 129, origin choice 2)
One atom of each set of equivalent atoms:
Ag 0.250 0.250 0.124
Au 0.250 0.250 0.628

Total magnetization in μB per atom: 0.00
Electronic total energy in Ry per atom: -3.69759